Density functional theory data (PBE) for a relaxed Tb2Ce2Sb5 crystal.

Structure (CIF):
```
data_Tb2Ce2Sb5
_chemical_formula_sum 'Tb8 Ce8 Sb20'
_cell_length_a 15.610
_cell_length_b 8.213
_cell_length_c 8.242
_cell_angle_alpha 90.00
_cell_angle_beta 90.00
_cell_angle_gamma 90.00
_space_group_name_H-M_alt 'C m c e'
_space_group_IT_number 64
_space_group_name_Hall '-C 2ac 2'
loop_
_atom_site_label
_atom_site_type_symbol
_atom_site_fract_x
_atom_site_fract_y
_atom_site_fract_z
Tb1 Tb 0.000 0.154 0.156
Ce1 Ce 0.192 0.000 0.500
Sb1 Sb 0.000 0.000 0.500
Sb2 Sb 0.139 0.152 0.850
```

Raw formation energy in kJ/mol of atoms: -87.9

Density functional theory data (PBE) for a relaxed NaTlB2 crystal.

Structure (CIF):
```
data_NaTlB2
_chemical_formula_sum 'Na4 Tl4 B8'
_cell_length_a 6.303
_cell_length_b 6.303
_cell_length_c 6.303
_cell_angle_alpha 90.00
_cell_angle_beta 90.00
_cell_angle_gamma 90.00
_space_group_name_H-M_alt 'F m -3 m'
_space_group_IT_number 225
_space_group_name_Hall '-F 4 2 3'
loop_
_atom_site_label
_atom_site_type_symbol
_atom_site_fract_x
_atom_site_fract_y
_atom_site_fract_z
Na1 Na 0.000 0.000 0.000
Tl1 Tl 0.000 0.000 0.500
B1 B 0.250 0.250 0.250
```

E above lowest polymorph in eV per atom: 0.325
DFT formation energy in eV/atom: 1.5008

no.,calculated total energy (eV per formula unit)
1,-49.94
2,-11.04